# La2FeRu | Alexandria via LeMat-Bulk | SCAN | single point on PBEsol structure
# Calculated total energy, eV/cell: -138.63
# Energy of formation, eV per atom: 0.135
# M_tot, μB per atom: 0.513
data_La2FeRu
_chemical_formula_sum 'La2 Fe1 Ru1'
_cell_length_a 3.4550
_cell_length_b 4.9689
_cell_length_c 4.9689
_cell_angle_alpha 90.00
_cell_angle_beta 90.00
_cell_angle_gamma 90.00
_space_group_name_H-M_alt 'P 1'
_space_group_IT_number 1
loop_
_space_group_symop_operation_xyz
'x,y,z'
loop_
_atom_site_label
_atom_site_fract_x
_atom_site_fract_y
_atom_site_fract_z
_atom_site_occupancy
Fe1 0.5000 0.0000 0.0000 1
La1 0.0000 0.0000 0.5000 1
La2 0.0000 0.5000 0.0000 1
Ru1 0.5000 0.5000 0.5000 1